# CdI3N

CdI3N at its PBEsol-relaxed geometry (SCAN, Alexandria via LeMat-Bulk).

Cell lengths 5.7901, 5.7901, 5.7901 Å; angles 90.00, 90.00, 90.00 degrees
With the nearest neighbours (Å) after each atom.
Sites, in units of the cell vectors:
Cd: 0.0000 0.0000 0.0000  6 I 2.90
N: 0.5000 0.5000 0.5000  12 I 4.09
I: 0.5000 0.0000 0.0000  2 Cd 2.90
I: 0.0000 0.5000 0.0000  2 Cd 2.90
I: 0.0000 0.0000 0.5000  2 Cd 2.90

Values from the calculation:
As for the space group: Pm-3m. The calculation puts the formation energy without anion corrections at 823 meV per atom. The total energy is -145.81 eV/cell. The value obtained for the density of states at the Fermi level is 6.5 states/eV/cell.

# SrTeRu

SrTeRu at its PBEsol-relaxed geometry (SCAN, Alexandria via LeMat-Bulk).

Cell lengths 5.0434, 5.0434, 5.0434 Å; angles 60.00, 60.00, 60.00 degrees
With the nearest neighbours (Å) after each atom.
Sites, in units of the cell vectors:
Sr: 0.2500 0.2500 0.2500  4 Te 3.09, 4 Ru 3.09
Ru: 0.5000 0.5000 0.5000  4 Sr 3.09
Te: 0.0000 0.0000 0.0000  4 Sr 3.09

Values from the calculation:
As for the space group: F-43m. The calculation puts the formation energy without anion corrections at 551 meV per atom. The total energy is -92.70 eV/cell. The value obtained for the density of states at the Fermi level is 6.3 states/eV/cell.

# BIr2PbBr

BIr2PbBr at its PBEsol-relaxed geometry (SCAN, Alexandria via LeMat-Bulk).

Cell lengths 4.0652, 4.0652, 5.8722 Å; angles 90.00, 90.00, 90.00 degrees
With the nearest neighbours (Å) after each atom.
Sites, in units of the cell vectors:
Br: 0.0000 0.0000 0.5000  4 Pb 2.87, 2 B 2.94
Ir: 0.0000 0.5000 0.0000  2 B 2.03
Ir: 0.5000 0.0000 0.0000  2 B 2.03
Pb: 0.5000 0.5000 0.5000  4 Br 2.87
B: 0.0000 0.0000 0.0000  4 Ir 2.03

Values from the calculation:
As for the space group: P4/mmm. The calculation puts the formation energy without anion corrections at 600 meV per atom. The total energy is -241.87 eV/cell. The value obtained for the density of states at the Fermi level is 2.9 states/eV/cell.

# Hf3ZnFe

Hf3ZnFe at its PBEsol-relaxed geometry (SCAN, Alexandria via LeMat-Bulk).

Cell lengths 4.6732, 4.6732, 4.6732 Å; angles 90.00, 90.00, 90.00 degrees
With the nearest neighbours (Å) after each atom.
Sites, in units of the cell vectors:
Hf: 0.0000 0.5000 0.0000  2 Fe 2.34
Hf: 0.0000 0.0000 0.5000  2 Fe 2.34
Hf: 0.5000 0.0000 0.0000  2 Fe 2.34
Fe: 0.0000 0.0000 0.0000  6 Hf 2.34
Zn: 0.5000 0.5000 0.5000  12 Hf 3.30

Values from the calculation:
Its formation energy is 1.661 eV per formula unit. As for the space group: Pm-3m. The total energy is -218.00 eV/cell. The value obtained for the density of states at the Fermi level is 7.7 states/eV/cell.

# KY2Sc

KY2Sc at its PBEsol-relaxed geometry (SCAN, Alexandria via LeMat-Bulk).

Cell lengths 3.6177, 5.9008, 5.9008 Å; angles 90.00, 90.00, 90.00 degrees
With the nearest neighbours (Å) after each atom.
Sites, in units of the cell vectors:
Y: 0.0000 0.5000 0.0000  4 K 3.46, 4 Sc 3.46, 2 Y 3.62
Y: 0.0000 0.0000 0.5000  4 K 3.46, 4 Sc 3.46, 2 Y 3.62
K: 0.5000 0.5000 0.5000  8 Y 3.46, 2 K 3.62
Sc: 0.5000 0.0000 0.0000  8 Y 3.46, 2 Sc 3.62

Values from the calculation:
The value obtained for the offset from the most stable computed form is 0.298 eV per atom. Its formation energy is 2.287 eV per formula unit. As for the space group: P4/mmm. The total energy is -75.96 eV/cell. The value obtained for the density of states at the Fermi level is 6.0 states/eV/cell.

# SrCoMo2Pb

SrCoMo2Pb at its PBEsol-relaxed geometry (SCAN, Alexandria via LeMat-Bulk).

Cell lengths 4.7767, 5.2050, 5.2050 Å; angles 90.00, 90.00, 90.00 degrees
With the nearest neighbours (Å) after each atom.
Sites, in units of the cell vectors:
Mo: 0.0000 0.0000 0.5000  2 Pb 2.60
Mo: 0.0000 0.5000 0.0000  2 Pb 2.60
Pb: 0.0000 0.0000 0.0000  2 Co 2.39, 4 Mo 2.60
Co: 0.5000 0.0000 0.0000  2 Pb 2.39
Sr: 0.5000 0.5000 0.5000  8 Mo 3.53, 4 Co 3.68

Values from the calculation:
Its formation energy is 8.232 eV per formula unit. As for the space group: P4/mmm. The total energy is -176.90 eV/cell. The value obtained for the density of states at the Fermi level is 4.6 states/eV/cell.

# Al2AuBr

Al2AuBr at its PBEsol-relaxed geometry (SCAN, Alexandria via LeMat-Bulk).

Cell lengths 3.2602, 4.4186, 5.3445 Å; angles 90.00, 90.00, 90.00 degrees
With the nearest neighbours (Å) after each atom.
Sites, in units of the cell vectors:
Au: 0.3752 0.0000 0.0000  6 Al 2.67-2.75
Al: 0.8758 0.5000 0.0000  2 Br 2.67, 4 Au 2.74-2.75
Al: 0.3743 0.0000 0.5000  2 Au 2.67, 4 Br 2.74-2.75
Br: 0.8747 0.5000 0.5000  6 Al 2.67-2.75

Values from the calculation:
The value obtained for the offset from the most stable computed form is 0.000 eV per atom. As for the space group: Pmmm. The calculation puts the formation energy without anion corrections at -217 meV per atom. The total energy is -104.99 eV/cell. The value obtained for the density of states at the Fermi level is 1.0 states/eV/cell.

# Ir7Os

Ir7Os at its PBEsol-relaxed geometry (SCAN, Alexandria via LeMat-Bulk).

Cell lengths 5.4133, 5.4133, 5.4133 Å; angles 60.00, 60.00, 60.00 degrees
With the nearest neighbours (Å) after each atom.
Sites, in units of the cell vectors:
Ir: 0.5000 0.5000 0.0000  10 Ir 2.71, 2 Os 2.71
Ir: 0.0000 0.5000 0.0000  2 Os 2.71, 10 Ir 2.71
Ir: 0.0000 0.0000 0.5000  10 Ir 2.71, 2 Os 2.71
Ir: 0.5000 0.0000 0.5000  10 Ir 2.71, 2 Os 2.71
Ir: 0.5000 0.5000 0.5000  12 Ir 2.71
Ir: 0.5000 0.0000 0.0000  10 Ir 2.71, 2 Os 2.71
Ir: 0.0000 0.5000 0.5000  10 Ir 2.71, 2 Os 2.71
Os: 0.0000 0.0000 0.0000  12 Ir 2.71

Values from the calculation:
Its formation energy is 0.128 eV per formula unit. As for the space group: Fm-3m. The total energy is -569.45 eV/cell. The value obtained for the density of states at the Fermi level is 6.8 states/eV/cell.

# Ru2RhCl

Ru2RhCl at its PBEsol-relaxed geometry (SCAN, Alexandria via LeMat-Bulk).

Cell lengths 4.2955, 4.2955, 4.2955 Å; angles 60.00, 60.00, 60.00 degrees
With the nearest neighbours (Å) after each atom.
Sites, in units of the cell vectors:
Rh: 0.2500 0.2500 0.2500  4 Ru 2.63, 4 Cl 2.63
Ru: 0.0000 0.0000 0.0000  4 Rh 2.63, 4 Ru 2.63
Ru: 0.7500 0.7500 0.7500  4 Cl 2.63, 4 Ru 2.63
Cl: 0.5000 0.5000 0.5000  4 Ru 2.63, 4 Rh 2.63

Values from the calculation:
The value obtained for the offset from the most stable computed form is 0.030 eV per atom. As for the space group: F-43m. The calculation puts the formation energy without anion corrections at 911 meV per atom. The total energy is -107.76 eV/cell. The value obtained for the density of states at the Fermi level is 2.1 states/eV/cell.

# Cr2HgRu

Cr2HgRu at its PBEsol-relaxed geometry (SCAN, Alexandria via LeMat-Bulk).

Cell lengths 2.7152, 2.7152, 8.9378 Å; angles 81.26, 81.26, 60.00 degrees
With the nearest neighbours (Å) after each atom.
Sites, in units of the cell vectors:
Ru: 0.0000 0.0000 0.0000  6 Cr 2.55, 6 Ru 2.72
Cr: 0.7428 0.7428 0.7717  3 Ru 2.55, 6 Cr 2.72
Cr: 0.2572 0.2572 0.2283  3 Ru 2.55, 6 Cr 2.72
Hg: 0.5000 0.5000 0.5000  6 Hg 2.72, 6 Cr 2.86

Values from the calculation:
Its formation energy is 2.346 eV per formula unit. As for the space group: R-3m. The total energy is -137.41 eV/cell. The value obtained for the density of states at the Fermi level is 3.7 states/eV/cell.

# MnMoIr2

MnMoIr2 at its PBEsol-relaxed geometry (SCAN, Alexandria via LeMat-Bulk).

Cell lengths 2.6830, 2.6830, 7.5058 Å; angles 90.00, 90.00, 90.00 degrees
With the nearest neighbours (Å) after each atom.
Sites, in units of the cell vectors:
Mn: 0.5000 0.5000 0.0000  8 Ir 2.59, 4 Mn 2.68
Ir: 0.0000 0.0000 0.2354  4 Mn 2.59, 4 Ir 2.68, 4 Mo 2.75
Ir: 0.0000 0.0000 0.7646  4 Mn 2.59, 4 Ir 2.68, 4 Mo 2.75
Mo: 0.5000 0.5000 0.5000  4 Mo 2.68, 8 Ir 2.75

Values from the calculation:
The value obtained for the offset from the most stable computed form is 0.045 eV per atom. Its formation energy is -1.407 eV per formula unit. As for the space group: P4/mmm. The total energy is -196.75 eV/cell. The value obtained for the density of states at the Fermi level is 4.0 states/eV/cell.

# LaInN2

LaInN2 at its PBEsol-relaxed geometry (SCAN, Alexandria via LeMat-Bulk).

Cell lengths 3.8875, 3.8875, 6.6267 Å; angles 72.94, 72.94, 60.00 degrees
With the nearest neighbours (Å) after each atom.
Sites, in units of the cell vectors:
La: 0.5000 0.5000 0.5000  6 N 2.53
In: 0.0000 0.0000 0.0000  2 N 1.95
N: 0.1044 0.1044 0.6867  1 In 1.95
N: 0.8956 0.8956 0.3133  1 In 1.95

Values from the calculation:
As for the space group: R-3m. The calculation puts the formation energy without anion corrections at -574 meV per atom. The total energy is -97.37 eV/cell.